The following is a DFT calculation (GGA-PBE) of a relaxed structure of Ac2Pr7Y2.

Values from the calculation:
The calculation puts the raw total energy at -4.8437 eV/atom. The formation energy from the elements comes out at 0.120 eV/atom. The relative energy among the computed polymorphs comes out at 0.0000 eV/atom. Its crystal system is monoclinic.

a = 11.6882 Å, b = 11.9925 Å, c = 6.4113 Å
α = 90.00°, β = 113.59°, γ = 90.00°
Space group C2/m (No. 12)
Asymmetric unit:
Ac: 0.0982 0.0000 0.3153
Pr: 0.0000 0.5000 0.5000
Pr: 0.1756 0.2567 0.6821
Pr: 0.2262 0.5000 0.0672
Y: 0.0000 0.2883 0.0000